[1]
! Ta2Ag2PdS6 | Alexandria via LeMat-Bulk | PBE | optimized geometry; values from VASP
&SYSTEM
  ibrav = 0, nat = 11, ntyp = 4
/
ATOMIC_SPECIES
S 32.06 S.upf
Ta 180.95 Ta.upf
Ag 107.87 Ag.upf
Pd 106.42 Pd.upf
CELL_PARAMETERS angstrom
6.1367 0.0120 -0.1007
-3.0227 5.3407 -0.1007
-1.3156 -2.2613 7.2216
ATOMIC_POSITIONS crystal
S 0.2848 0.2848 0.2434
Ta 0.3659 0.6341 0.5000
S 0.0616 0.4084 0.6775
S 0.5916 0.9384 0.3225
Ag 0.3597 0.6403 0.0000
Pd 0.0000 0.0000 0.5000
S 0.9384 0.5916 0.3225
Ag 0.6403 0.3597 0.0000
S 0.7152 0.7152 0.7566
Ta 0.6341 0.3659 0.5000
S 0.4084 0.0616 0.6775
! Density of states at the Fermi level: 4.18 states/eV/f.u.
! Formation energy without anion corrections: -0.525 eV/atom
! V: 21.287 A^3/atom
! Space-group type: C2/m, No. 12
! Calculated density: 6.22 g/cm3
! Total moment: 0.00 Bohr magnetons per cell

[2]
! FeSiTc4 | Alexandria via LeMat-Bulk | PBE | optimized geometry; values from VASP
&SYSTEM
  ibrav = 0, nat = 6, ntyp = 3
/
ATOMIC_SPECIES
Tc 98.00 Tc.upf
Si 28.09 Si.upf
Fe 55.84 Fe.upf
CELL_PARAMETERS angstrom
0.0000 3.5787 3.5787
3.5787 0.0000 3.5787
3.5787 3.5787 0.0000
ATOMIC_POSITIONS crystal
Tc 0.3748 0.3748 0.8755
Si 0.0000 0.0000 0.0000
Tc 0.3748 0.3748 0.3748
Fe 0.7500 0.7500 0.7500
Tc 0.8755 0.3748 0.3748
Tc 0.3748 0.8755 0.3748
! Density of states at the Fermi level: 6.01 states/eV/f.u.
! Formation energy without anion corrections: 0.529 eV/atom
! V: 15.277 A^3/atom
! Space-group type: F-43m, No. 216
! Calculated density: 8.62 g/cm3
! Total moment: 3.09 Bohr magnetons per cell

[3]
! CaCdCo | Alexandria via LeMat-Bulk | PBE | optimized geometry; values from VASP
&SYSTEM
  ibrav = 0, nat = 3, ntyp = 3
/
ATOMIC_SPECIES
Co 58.93 Co.upf
Cd 112.41 Cd.upf
Ca 40.08 Ca.upf
CELL_PARAMETERS angstrom
-3.2851 -0.8024 -0.1846
1.6144 -0.1466 2.9735
-1.6106 6.3209 1.1860
ATOMIC_POSITIONS crystal
Co 0.3333 0.6667 0.6574
Cd 0.6667 0.3333 0.3768
Ca 0.0000 0.0000 0.9658
! Density of states at the Fermi level: 1.87 states/eV/f.u.
! V: 21.952 A^3/atom
! Space-group type: P3m1, No. 156
! Calculated density: 5.33 g/cm3
! Formation energy: 0.4207 eV per atom
! Total moment: 0.77 Bohr magnetons per cell

[4]
! CsK6Na8 | Alexandria via LeMat-Bulk | PBE | optimized geometry; values from VASP
&SYSTEM
  ibrav = 0, nat = 15, ntyp = 3
/
ATOMIC_SPECIES
Na 22.99 Na.upf
K 39.10 K.upf
Cs 132.91 Cs.upf
CELL_PARAMETERS angstrom
-5.4216 3.6932 7.4259
-1.4639 -7.1014 6.7531
5.9134 1.6839 7.7700
ATOMIC_POSITIONS crystal
Na 0.4345 0.0604 0.8459
Na 0.8459 0.4345 0.0604
Na 0.0604 0.8459 0.4345
Na 0.9396 0.1541 0.5655
K 0.8352 0.5971 0.3729
K 0.6271 0.1648 0.4029
Na 0.5655 0.9396 0.1541
Na 0.2142 0.2142 0.2142
K 0.5971 0.3729 0.8352
Cs 0.0000 0.0000 0.0000
Na 0.1541 0.5655 0.9396
K 0.3729 0.8352 0.5971
Na 0.7858 0.7858 0.7858
K 0.4029 0.6271 0.1648
K 0.1648 0.4029 0.6271
! Density of states at the Fermi level: 8.56 states/eV/f.u.
! V: 56.255 A^3/atom
! Space-group type: R-3, No. 148
! Calculated density: 1.09 g/cm3
! Formation energy: 0.0494 eV per atom
! Total moment: 0.00 Bohr magnetons per cell

Question: Number 4 is which compound?
Answer: CsK6Na8